Record 1
## MnAl8 (GGA-PBE)

Data for crystalline MnAl8 at its relaxed geometry.

Lattice parameters (Å, degrees): 8.457 8.457 3.958 90.00 90.00 90.00
Space group I4/mmm (No. 139)
One atom of each set of equivalent atoms:
Mn: 0.000 0.000 0.000 (multiplicity 2)
Al: 0.000 0.326 0.000 (multiplicity 8)
Al: 0.160 0.160 0.500 (multiplicity 8)

Output
The value obtained for the density of states at the Fermi level is 5.24 states/eV/f.u. The calculation puts the volume at 15.726 Å³/atom. The total energy comes out at -4.3831 eV/atom. The formation energy comes out at -0.038 eV/atom.



Record 2
## CrRh2Pb (GGA-PBE)

Data for crystalline CrRh2Pb at its relaxed geometry.

Lattice parameters (Å, degrees): 3.0139 3.0139 26.0000 90.00 90.00 120.00
Space group R-3m (No. 166, hexagonal axes)
One atom of each set of equivalent atoms:
Cr: 0.0000 0.0000 0.0000 (multiplicity 3)
Rh: 0.0000 0.0000 0.2602 (multiplicity 6)
Pb: 0.0000 0.0000 0.5000 (multiplicity 3)

Output
The value obtained for the density of states at the Fermi level is 4.82 states/eV/f.u. The calculation puts the volume at 17.044 Å³/atom. The total energy comes out at -6.7245 eV/atom. The formation energy comes out at 0.284 eV/atom.



What is the formation energy in the second record? 0.284 eV/atom



What is the formula in the second record? CrRh2Pb



Among the records above, which one has the lowest formation energy? MnAl8